Here is an optimized crystal structure of Pm6Pr12Y from Alexandria via LeMat-Bulk. Energies are from PBE.

```
Pm6Pr12Y
1.0
7.939 4.583 3.270
-7.939 4.583 3.270
0.000 -9.167 3.270
Pm Pr Y
6 12 1
Direct
0.222 0.670 0.670
0.330 0.330 0.778
0.330 0.778 0.330
0.670 0.222 0.670
0.670 0.670 0.222
0.778 0.330 0.330
0.107 0.500 0.893
0.107 0.893 0.500
0.176 0.380 0.380
0.380 0.176 0.380
0.380 0.380 0.176
0.500 0.107 0.893
0.500 0.893 0.107
0.620 0.620 0.824
0.620 0.824 0.620
0.824 0.620 0.620
0.893 0.107 0.500
0.893 0.500 0.107
0.000 0.000 0.000
```

As for the space-group type: No. 166. The calculated volume is 714 Å³/cell. For the formation enthalpy at 0 K, the calculation gives 38 kJ/mol of atoms. The polymorph energy (0 for the lowest one) is 5.14 eV/f.u.